HfZr3Ni: relaxed, PBE. Values from VASP.

```
&SYSTEM
  ibrav = 0, nat = 10, ntyp = 3
/
ATOMIC_SPECIES
Hf 178.49 Hf.upf
Zr 91.22 Zr.upf
Ni 58.69 Ni.upf
CELL_PARAMETERS angstrom
5.333 0.000 0.000
0.000 5.333 0.000
-2.666 -2.666 8.612
ATOMIC_POSITIONS angstrom
Hf 2.666 0.000 0.858
Hf 2.666 0.000 7.755
Zr -1.330 2.666 6.471
Zr 0.000 1.336 2.142
Zr 0.000 3.997 2.142
Zr 1.330 2.666 6.471
Zr 0.000 0.000 5.213
Zr 2.666 2.666 3.399
Ni 0.000 0.000 0.000
Ni 0.000 2.666 4.306
```

Summary:
For the formation energy, the calculation gives 0.548 eV per atom.



Cd2AgIr: relaxed, PBE. Values from VASP.

```
&SYSTEM
  ibrav = 0, nat = 4, ntyp = 3
/
ATOMIC_SPECIES
Ir 192.22 Ir.upf
Ag 107.87 Ag.upf
Cd 112.41 Cd.upf
CELL_PARAMETERS angstrom
-3.854 -2.249 -3.100
-1.320 -2.083 -4.842
0.359 -4.854 0.059
ATOMIC_POSITIONS angstrom
Ir -2.406 -4.928 -3.970
Ag -1.167 -1.988 -1.887
Cd -5.123 -4.606 -7.894
Cd -3.703 -6.588 -6.016
```

Summary:
For the formation energy, the calculation gives 0.129 eV per atom.



Pr2Nd9Ho: relaxed, PBE. Values from VASP.

```
&SYSTEM
  ibrav = 0, nat = 12, ntyp = 3
/
ATOMIC_SPECIES
Pr 140.91 Pr.upf
Nd 144.24 Nd.upf
Ho 164.93 Ho.upf
CELL_PARAMETERS angstrom
5.193 0.000 0.000
0.000 5.193 0.000
0.000 0.000 15.576
ATOMIC_POSITIONS angstrom
Pr 0.000 0.000 5.169
Pr 0.000 0.000 10.407
Nd 2.596 2.596 0.000
Nd 2.596 2.596 5.170
Nd 2.596 2.596 10.406
Nd 2.596 0.000 2.558
Nd 2.596 0.000 7.788
Nd 2.596 0.000 13.018
Nd 0.000 2.596 2.558
Nd 0.000 2.596 7.788
Nd 0.000 2.596 13.018
Ho 0.000 0.000 0.000
```

Summary:
For the formation energy, the calculation gives 0.014 eV per atom.



In μB/atom, the magnetic moment values for the records above are, in order, 0.00, 0.00, 0.00.